Entry 1:
Ba2Os after structural relaxation, computed with PBE.

Summary:
E above lowest polymorph: 533.5 meV/atom
N(E_F): 7.98 states/eV per cell
Energy relative to the elements: 754 meV per atom
Spin magnetization: 0.004 μB/atom
SG: No. 63

Unit cell a=6.500 b=6.500 c=7.684 alpha=90.00 beta=90.00 gamma=140.36
Fractional positions:
Ba 0.224 0.776 0.250
Ba 0.776 0.224 0.750
Ba 0.500 0.500 0.000
Ba 0.500 0.500 0.500
Os 0.106 0.894 0.750
Os 0.894 0.106 0.250

---

Entry 2:
Ce6SiS5 after structural relaxation, computed with PBE.

Summary:
N(E_F): 26.36 states/eV per cell
E_form (uncorrected): -1806 meV/atom
Spin magnetization: 0.258 μB/atom
SG: No. 12

Unit cell a=7.017 b=7.016 c=7.018 alpha=60.01 beta=80.40 gamma=70.51
Fractional positions:
Si 0.000 0.000 0.000
S 0.500 0.165 0.670
S 0.000 0.333 0.334
S 0.500 0.500 0.000
S 0.000 0.667 0.666
S 0.500 0.835 0.330
Ce 0.748 0.084 0.336
Ce 0.252 0.580 0.336
Ce 0.251 0.253 0.000
Ce 0.749 0.747 0.000
Ce 0.748 0.420 0.664
Ce 0.252 0.916 0.664

---

Entry 3:
Re2Te2F after structural relaxation, computed with PBE.

Summary:
E above lowest polymorph: 664.2 meV/atom
N(E_F): 10.23 states/eV per cell
E_form (uncorrected): 519 meV/atom
Spin magnetization: 0.000 μB/atom
SG: No. 127

Unit cell a=7.653 b=7.653 c=3.172 alpha=90.00 beta=90.00 gamma=90.00
Fractional positions:
Re 0.135 0.635 0.500
Re 0.635 0.865 0.500
Re 0.865 0.365 0.500
Re 0.365 0.135 0.500
Te 0.343 0.843 0.000
Te 0.843 0.657 0.000
Te 0.657 0.157 0.000
Te 0.157 0.343 0.000
F 0.000 0.000 0.000
F 0.500 0.500 0.000

---

Entry 4:
LiZrPa after structural relaxation, computed with PBE.

Summary:
E above lowest polymorph: 135.8 meV/atom
N(E_F): 8.36 states/eV per cell
Energy relative to the elements: 253 meV per atom
Spin magnetization: 0.000 μB/atom
SG: No. 2

Unit cell a=5.288 b=6.151 c=10.759 alpha=62.71 beta=51.65 gamma=30.82
Fractional positions:
Li 0.117 0.063 0.914
Li 0.117 0.577 0.940
Zr 0.161 0.241 0.270
Zr 0.074 0.399 0.584
Pa 0.042 0.909 0.605
Pa 0.193 0.731 0.249

---

Entry 5:
MgNp2Ge4Rh3 after structural relaxation, computed with PBE.

Summary:
N(E_F): 22.39 states/eV per cell
Energy relative to the elements: -404 meV per atom
Spin magnetization: 0.764 μB/atom
SG: No. 115

Unit cell a=4.182 b=4.182 c=10.621 alpha=90.00 beta=90.00 gamma=90.00
Fractional positions:
Mg 0.500 0.500 0.500
Np 0.500 0.000 0.238
Np 0.000 0.500 0.762
Ge 0.500 0.500 0.000
Ge 0.000 0.000 0.000
Ge 0.500 0.000 0.647
Ge 0.000 0.500 0.353
Rh 0.000 0.000 0.500
Rh 0.500 0.000 0.875
Rh 0.000 0.500 0.125

---

Entry 6:
MgCrBiMo2 after structural relaxation, computed with PBE.

Summary:
N(E_F): 4.80 states/eV per cell
Energy relative to the elements: 1762 meV per atom
Spin magnetization: 0.981 μB/atom
SG: No. 123

Unit cell a=4.746 b=4.609 c=4.746 alpha=90.00 beta=90.00 gamma=90.00
Fractional positions:
Mg 0.000 0.000 0.000
Cr 0.000 0.500 0.000
Mo 0.000 0.000 0.500
Mo 0.500 0.000 0.000
Bi 0.500 0.500 0.500

---

Entry 7:
LiRe2Br after structural relaxation, computed with PBE.

Summary:
E above lowest polymorph: 982.8 meV/atom
N(E_F): 2.83 states/eV per cell
E_form (uncorrected): 1140 meV/atom
Spin magnetization: 0.000 μB/atom
SG: No. 65

Unit cell a=5.414 b=5.414 c=2.778 alpha=90.00 beta=90.00 gamma=125.11
Fractional positions:
Br 0.500 0.000 0.500
Li 0.000 0.500 0.500
Re 0.000 0.000 0.000
Re 0.500 0.500 0.000

---

Entry 8:
CsPrHgI6 after structural relaxation, computed with PBE.

Summary:
N(E_F): 0.00 states/eV per cell
E_form (uncorrected): -1056 meV/atom
Spin magnetization: 0.000 μB/atom
SG: No. 5

Unit cell a=8.403 b=8.404 c=8.448 alpha=93.69 beta=86.30 gamma=55.90
Fractional positions:
Cs 0.993 0.993 0.000
Pr 0.658 0.658 0.500
Hg 0.359 0.359 0.500
I 0.970 0.435 0.212
I 0.435 0.970 0.788
I 0.666 0.336 0.681
I 0.013 0.569 0.705
I 0.337 0.666 0.319
I 0.569 0.013 0.295

---

Entry 9:
Cs3DySb2Se6 after structural relaxation, computed with PBE.

Summary:
E_form (uncorrected): -1023 meV/atom
Spin magnetization: 0.000 μB/atom
SG: No. 12

Unit cell a=7.460 b=7.460 c=8.696 alpha=98.21 beta=98.21 gamma=120.00
Fractional positions:
Cs 0.168 0.832 0.500
Cs 0.832 0.168 0.500
Cs 0.500 0.500 0.500
Dy 0.000 0.000 0.000
Sb 0.334 0.666 0.000
Sb 0.666 0.334 0.000
Se 0.938 0.607 0.814
Se 0.731 0.731 0.186
Se 0.062 0.393 0.186
Se 0.607 0.938 0.814
Se 0.269 0.269 0.814
Se 0.393 0.062 0.186

---

Entry 10:
Sc2CuO after structural relaxation, computed with PBE.

Summary:
N(E_F): 3.29 states/eV per cell
E_form (uncorrected): -1072 meV/atom
Spin magnetization: 0.000 μB/atom
SG: No. 166

Unit cell a=8.093 b=8.093 c=8.093 alpha=21.86 beta=21.86 gamma=21.86
Fractional positions:
Sc 0.888 0.888 0.888
Sc 0.112 0.112 0.112
O 0.500 0.500 0.500
Cu 0.000 0.000 0.000

---

Entry 11:
NpCuSbSe after structural relaxation, computed with PBE.

Summary:
N(E_F): 23.20 states/eV per cell
E_form (uncorrected): -433 meV/atom
Spin magnetization: 0.854 μB/atom
SG: No. 129

Unit cell a=4.480 b=4.480 c=8.676 alpha=90.00 beta=90.00 gamma=90.00
Fractional positions:
Np 0.500 0.000 0.711
Np 0.000 0.500 0.289
Cu 0.500 0.500 0.000
Cu 0.000 0.000 0.000
Sb 0.000 0.500 0.836
Sb 0.500 0.000 0.164
Se 0.000 0.000 0.500
Se 0.500 0.500 0.500

---

Entry 12:
Nd2ErHg4 after structural relaxation, computed with PBE.

Summary:
E above lowest polymorph: 299.9 meV/atom
N(E_F): 6.71 states/eV per cell
Energy relative to the elements: -47 meV per atom
Spin magnetization: 0.000 μB/atom
SG: No. 139

Unit cell a=5.604 b=5.604 c=8.772 alpha=108.63 beta=108.63 gamma=90.00
Fractional positions:
Nd 0.608 0.608 0.215
Nd 0.392 0.392 0.785
Er 0.000 0.000 0.000
Hg 0.809 0.809 0.617
Hg 0.191 0.191 0.383
Hg 0.000 0.500 0.000
Hg 0.500 0.000 0.000